## NaRuRh (PBE)

Data for a geometry-optimized NaRuRh structure.

Cell and atoms, written as CIF:
```
data_NaRuRh
_chemical_formula_sum 'Na4 Ru4 Rh4'
_space_group_name_H-M_alt 'C m c m'
_space_group_IT_number 63
_space_group_name_Hall '-C 2c 2'
_cell_length_a 4.5379
_cell_length_b 7.8366
_cell_length_c 5.1603
_cell_angle_alpha 90.00
_cell_angle_beta 90.00
_cell_angle_gamma 90.00
loop_
_atom_site_label
_atom_site_type_symbol
_atom_site_fract_x
_atom_site_fract_y
_atom_site_fract_z
Na1 Na 0.0000 0.1658 0.2500
Ru1 Ru 0.0000 0.5000 0.0000
Rh1 Rh 0.0000 0.1680 0.7500
```

Results
The value obtained for the total energy is -15.5 eV/f.u. The calculation puts the formation energy at 0.8271 eV/atom. For the energy above the lowest structure with this stoichiometry, the calculation gives 534 meV per atom.



## MgTi2Hg (PBE)

Data for a geometry-optimized MgTi2Hg structure.

Cell and atoms, written as CIF:
```
data_MgTi2Hg
_chemical_formula_sum 'Mg4 Ti8 Hg4'
_space_group_name_H-M_alt 'I -4 2 d'
_space_group_IT_number 122
_space_group_name_Hall 'I -4 2bw'
_cell_length_a 7.7725
_cell_length_b 7.7725
_cell_length_c 5.3420
_cell_angle_alpha 90.00
_cell_angle_beta 90.00
_cell_angle_gamma 90.00
loop_
_atom_site_label
_atom_site_type_symbol
_atom_site_fract_x
_atom_site_fract_y
_atom_site_fract_z
Mg1 Mg 0.0000 0.0000 0.0000
Ti1 Ti 0.2359 0.2500 0.6250
Hg1 Hg 0.0000 0.0000 0.5000
```

Results
The value obtained for the total energy is -16.0 eV/f.u. The calculation puts the formation energy at 0.4126 eV/atom. For the energy above the lowest structure with this stoichiometry, the calculation gives 415 meV per atom.



## ScCr2Mo (PBE)

Data for a geometry-optimized ScCr2Mo structure.

Cell and atoms, written as CIF:
```
data_ScCr2Mo
_chemical_formula_sum 'Sc2 Cr4 Mo2'
_space_group_name_H-M_alt 'C 1 2/m 1'
_space_group_IT_number 12
_cell_length_a 8.0706
_cell_length_b 2.9609
_cell_length_c 5.3899
_cell_angle_alpha 90.00
_cell_angle_beta 97.48
_cell_angle_gamma 90.00
loop_
_space_group_symop_operation_xyz
'x,y,z'
'-x,-y,-z'
'-x,y,-z'
'x,-y,z'
'x+1/2,y+1/2,z'
'-x+1/2,-y+1/2,-z'
'-x+1/2,y+1/2,-z'
'x+1/2,-y+1/2,z'
loop_
_atom_site_label
_atom_site_type_symbol
_atom_site_fract_x
_atom_site_fract_y
_atom_site_fract_z
Sc1 Sc 0.0000 0.0000 0.0000
Cr1 Cr 0.2401 0.0000 0.7060
Mo1 Mo 0.0000 0.5000 0.5000
```

Results
The value obtained for the total energy is -34.5 eV/f.u. The calculation puts the formation energy at 0.4791 eV/atom. For the energy above the lowest structure with this stoichiometry, the calculation gives 287 meV per atom.